SrLa2Se, PBEsol geometry, DFT meta-GGA SCAN; formation energy from raw total energies = -0.514 eV per atom; crystal system = orthorhombic; energy = -32.655 eV/atom; symmetry = No. 65
1.0
3.268 -4.709 0.000
3.268 4.709 0.000
0.000 0.000 3.822
Sr La Se
1 2 1
direct
0.000 0.000 0.000 Sr
0.000 0.500 0.500 La
0.500 0.000 0.500 La
0.500 0.500 0.000 Se